[1]
Computed, not measured: an optimized crystal structure of PuCdAgHg at the GGA-PBE level of DFT.

a = 5.107 Å, b = 5.107 Å, c = 5.107 Å
α = 60.00°, β = 60.00°, γ = 60.00°
Each line ends with the local moment (μB).
Fractional coordinates of all 4 atoms:
Cd1 0.750 0.750 0.750  0.00
Hg1 0.500 0.500 0.500  0.03
Ag1 0.000 0.000 0.000  0.03
Pu1 0.250 0.250 0.250  5.40

Output
Formation energy in eV per formula unit: -0.17
SG: F-43m, No. 216

[2]
Computed, not measured: an optimized crystal structure of BeZn4Ag at the GGA-PBE level of DFT.

a = 4.998 Å, b = 4.998 Å, c = 4.998 Å
α = 60.00°, β = 60.00°, γ = 60.00°
Fractional coordinates of all 6 atoms:
Be1 0.000 0.000 0.000
Zn1 0.876 0.375 0.375
Zn2 0.375 0.375 0.876
Zn3 0.375 0.876 0.375
Zn4 0.375 0.375 0.375
Ag1 0.750 0.750 0.750

Output
Formation energy in eV per formula unit: 1.20
SG: F-43m, No. 216

[3]
Computed, not measured: an optimized crystal structure of PuAlRu at the GGA-PBE level of DFT.

a = 3.962 Å, b = 3.962 Å, c = 7.747 Å
α = 104.81°, β = 104.81°, γ = 90.00°
Each line ends with the local moment (μB).
Fractional coordinates of all 6 atoms:
Pu1 0.327 0.327 0.653  5.03
Pu2 0.673 0.673 0.347  5.03
Al1 0.500 0.000 0.000  0.01
Al2 0.000 0.500 0.000  0.01
Ru1 0.881 0.881 0.762  -0.42
Ru2 0.119 0.119 0.238  -0.42

Output
Formation energy in eV per formula unit: -0.93
SG: I4/mmm, No. 139

[4]
Computed, not measured: an optimized crystal structure of Cs2Cu2SbSe4 at the GGA-PBE level of DFT.

a = 4.124 Å, b = 8.100 Å, c = 8.460 Å
α = 108.88°, β = 90.00°, γ = 104.75°
Fractional coordinates of all 9 atoms:
Cs1 0.866 0.731 0.450
Cs2 0.134 0.269 0.550
Cu1 0.306 0.613 0.009
Cu2 0.694 0.387 0.991
Sb1 0.000 0.000 0.000
Se1 0.805 0.610 0.840
Se2 0.195 0.390 0.160
Se3 0.469 0.938 0.211
Se4 0.531 0.062 0.789

Output
SG: C2/m, No. 12
E_form (uncorrected) in eV per atom: -0.580

[5]
Computed, not measured: an optimized crystal structure of KPu2Cl8 at the GGA-PBE level of DFT.

a = 7.957 Å, b = 6.940 Å, c = 6.940 Å
α = 75.77°, β = 100.10°, γ = 100.10°
Each line ends with the local moment (μB).
Fractional coordinates of all 11 atoms:
K1 0.000 0.000 0.000  0.00
Pu1 0.440 0.681 0.681  4.68
Pu2 0.560 0.319 0.319  4.68
Cl1 0.359 0.319 0.943  -0.05
Cl2 0.641 0.057 0.681  -0.05
Cl3 0.165 0.766 0.766  -0.06
Cl4 0.835 0.234 0.234  -0.06
Cl5 0.359 0.943 0.319  -0.05
Cl6 0.641 0.681 0.057  -0.05
Cl7 0.712 0.572 0.572  -0.07
Cl8 0.288 0.428 0.428  -0.07

Output
SG: C2/m, No. 12
E_form (uncorrected) in eV per atom: -1.826
Offset from the most stable computed form in eV/atom: 0.000

[6]
Computed, not measured: an optimized crystal structure of Li2DyHg3 at the GGA-PBE level of DFT.

a = 4.671 Å, b = 4.671 Å, c = 13.516 Å
α = 90.00°, β = 90.00°, γ = 120.00°
Fractional coordinates of all 12 atoms:
Li1 0.667 0.333 0.429
Li2 0.333 0.667 0.571
Li3 0.333 0.667 0.929
Li4 0.667 0.333 0.071
Dy1 0.000 0.000 0.250
Dy2 0.000 0.000 0.750
Hg1 0.000 0.000 0.500
Hg2 0.000 0.000 0.000
Hg3 0.667 0.333 0.633
Hg4 0.333 0.667 0.133
Hg5 0.667 0.333 0.867
Hg6 0.333 0.667 0.367

Output
Formation energy in eV per formula unit: -2.22
SG: P6_3/mmc, No. 194

[7]
Computed, not measured: an optimized crystal structure of SrSi2Tc2C at the GGA-PBE level of DFT.

a = 4.170 Å, b = 4.170 Å, c = 5.496 Å
α = 90.00°, β = 90.00°, γ = 90.00°
Fractional coordinates of all 6 atoms:
Sr1 0.000 0.000 0.500
Si1 0.500 0.500 0.731
Si2 0.500 0.500 0.269
Tc1 0.500 0.000 0.000
Tc2 0.000 0.500 0.000
C1 0.000 0.000 0.000

Output
SG: P4/mmm, No. 123
E_form (uncorrected) in eV per atom: -0.310

[8]
Computed, not measured: an optimized crystal structure of Sm12Si3H5 at the GGA-PBE level of DFT.

a = 13.427 Å, b = 13.427 Å, c = 13.427 Å
α = 109.47°, β = 109.47°, γ = 109.47°
Fractional coordinates of all 80 atoms:
H1 0.125 0.375 0.250
H2 0.000 0.500 0.000
H3 0.000 0.000 0.000
H4 0.375 0.250 0.125
H5 0.500 0.000 0.500
H6 0.500 0.500 0.000
H7 0.125 0.750 0.375
H8 0.750 0.125 0.875
H9 0.750 0.625 0.375
H10 0.375 0.125 0.750
H11 0.625 0.875 0.250
H12 0.500 0.500 0.500
H13 0.500 0.000 0.000
H14 0.000 0.000 0.500
H15 0.250 0.375 0.625
H16 0.250 0.875 0.125
H17 0.000 0.500 0.500
H18 0.875 0.250 0.625
H19 0.625 0.750 0.875
H20 0.875 0.625 0.750
Si1 0.750 0.375 0.125
Si2 0.875 0.750 0.125
Si3 0.375 0.750 0.625
Si4 0.250 0.125 0.375
Si5 0.875 0.125 0.250
Si6 0.375 0.625 0.250
Si7 0.625 0.375 0.750
Si8 0.125 0.875 0.750
Si9 0.750 0.875 0.625
Si10 0.625 0.250 0.375
Si11 0.125 0.250 0.875
Si12 0.250 0.625 0.875
Sm1 0.714 0.117 0.024
Sm2 0.310 0.524 0.407
Sm3 0.976 0.383 0.286
Sm4 0.524 0.214 0.117
Sm5 0.597 0.714 0.690
Sm6 0.976 0.593 0.190
Sm7 0.310 0.786 0.403
Sm8 0.093 0.903 0.117
Sm9 0.593 0.976 0.690
Sm10 0.714 0.597 0.190
Sm11 0.786 0.476 0.383
Sm12 0.810 0.907 0.024
Sm13 0.117 0.714 0.524
Sm14 0.383 0.407 0.097
Sm15 0.097 0.907 0.383
Sm16 0.403 0.117 0.593
Sm17 0.097 0.190 0.214
Sm18 0.476 0.690 0.093
Sm19 0.810 0.903 0.286
Sm20 0.117 0.403 0.093
Sm21 0.383 0.976 0.786
Sm22 0.593 0.617 0.403
Sm23 0.907 0.810 0.524
Sm24 0.786 0.310 0.903
Sm25 0.407 0.383 0.597
Sm26 0.093 0.190 0.476
Sm27 0.214 0.690 0.097
Sm28 0.190 0.097 0.714
Sm29 0.617 0.024 0.214
Sm30 0.883 0.597 0.907
Sm31 0.524 0.310 0.907
Sm32 0.597 0.883 0.407
Sm33 0.903 0.810 0.786
Sm34 0.903 0.093 0.617
Sm35 0.883 0.286 0.476
Sm36 0.190 0.093 0.976
Sm37 0.617 0.593 0.903
Sm38 0.407 0.024 0.310
Sm39 0.286 0.403 0.810
Sm40 0.214 0.524 0.617
Sm41 0.907 0.097 0.883
Sm42 0.690 0.214 0.597
Sm43 0.476 0.786 0.883
Sm44 0.024 0.407 0.810
Sm45 0.403 0.286 0.310
Sm46 0.024 0.617 0.714
Sm47 0.690 0.476 0.593
Sm48 0.286 0.883 0.976

Output
SG: Ia-3d, No. 230
Total DFT energy (no corrections) in eV for the cell shown: -386.30

[9]
Computed, not measured: an optimized crystal structure of BaPd at the GGA-PBE level of DFT.

a = 7.174 Å, b = 7.174 Å, c = 7.174 Å
α = 90.00°, β = 90.00°, γ = 90.00°
Fractional coordinates of all 8 atoms:
Ba1 0.000 0.000 0.000
Ba2 0.000 0.500 0.500
Ba3 0.500 0.000 0.500
Ba4 0.500 0.500 0.000
Pd1 0.250 0.250 0.250
Pd2 0.250 0.750 0.750
Pd3 0.750 0.250 0.750
Pd4 0.750 0.750 0.250

Output
Formation energy in eV per formula unit: -0.23
SG: F-43m, No. 216

[10]
Computed, not measured: an optimized crystal structure of La3HoN4 at the GGA-PBE level of DFT.

a = 5.211 Å, b = 5.211 Å, c = 5.211 Å
α = 90.00°, β = 90.00°, γ = 90.00°
Fractional coordinates of all 8 atoms:
La1 0.000 0.500 0.500
La2 0.500 0.000 0.500
La3 0.500 0.500 0.000
Ho1 0.000 0.000 0.000
N1 0.500 0.000 0.000
N2 0.000 0.500 0.000
N3 0.000 0.000 0.500
N4 0.500 0.500 0.500

Output
SG: Pm-3m, No. 221
E_form (uncorrected) in eV per atom: -1.356
Offset from the most stable computed form in eV/atom: 0.031

[11]
Computed, not measured: an optimized crystal structure of Cr2SiMo at the GGA-PBE level of DFT.

a = 3.116 Å, b = 4.070 Å, c = 4.130 Å
α = 90.00°, β = 90.00°, γ = 90.00°
Each line ends with the local moment (μB).
Fractional coordinates of all 4 atoms:
Cr1 0.000 0.000 0.000  -0.80
Cr2 0.500 0.500 0.000  1.80
Mo1 0.500 0.000 0.500  0.38
Si1 0.000 0.500 0.500  -0.02

Output
SG: Pmmm, No. 47
E_form (uncorrected) in eV per atom: -0.056

[12]
Computed, not measured: an optimized crystal structure of LaYHoEr2 at the GGA-PBE level of DFT.

a = 7.235 Å, b = 8.408 Å, c = 7.123 Å
α = 126.17°, β = 90.00°, γ = 90.00°
Fractional coordinates of all 10 atoms:
La1 0.250 0.733 0.465
La2 0.750 0.267 0.535
Y1 0.250 0.004 0.009
Y2 0.750 0.996 0.991
Ho1 0.750 0.716 0.431
Ho2 0.250 0.284 0.569
Er1 0.500 0.311 0.000
Er2 0.000 0.689 0.000
Er3 0.500 0.689 0.000
Er4 0.000 0.311 0.000

Output
Formation energy in eV per formula unit: 1.84
SG: Cmcm, No. 63

[13]
Computed, not measured: an optimized crystal structure of Ac4Cd2Pd at the GGA-PBE level of DFT.

a = 5.807 Å, b = 5.807 Å, c = 9.210 Å
α = 108.38°, β = 108.38°, γ = 90.00°
Fractional coordinates of all 7 atoms:
Ac1 0.812 0.812 0.625
Ac2 0.188 0.188 0.375
Ac3 0.000 0.500 0.000
Ac4 0.500 0.000 0.000
Pd1 0.000 0.000 0.000
Cd1 0.615 0.615 0.231
Cd2 0.385 0.385 0.769

Output
Formation energy in eV per formula unit: -1.40
SG: I4/mmm, No. 139

[14]
Computed, not measured: an optimized crystal structure of CoOs2S at the GGA-PBE level of DFT.

a = 5.119 Å, b = 5.119 Å, c = 6.473 Å
α = 66.71°, β = 66.71°, γ = 90.00°
Fractional coordinates of all 8 atoms:
Co1 0.000 0.000 0.000
Co2 0.750 0.250 0.500
S1 0.500 0.500 0.000
S2 0.250 0.750 0.500
Os1 0.615 0.125 0.250
Os2 0.135 0.625 0.250
Os3 0.375 0.385 0.750
Os4 0.875 0.865 0.750

Output
SG: I-42d, No. 122
E_form (uncorrected) in eV per atom: 0.866
Offset from the most stable computed form in eV/atom: 0.250

[15]
Computed, not measured: an optimized crystal structure of NpCuHgBr6 at the GGA-PBE level of DFT.

a = 6.750 Å, b = 6.772 Å, c = 9.428 Å
α = 90.34°, β = 89.96°, γ = 59.51°
Each line ends with the local moment (μB).
Fractional coordinates of all 9 atoms:
Np1 0.667 0.667 0.500  2.95
Cu1 0.328 0.335 0.500  -0.27
Hg1 0.999 0.998 0.000  -0.03
Br1 0.008 0.346 0.331  -0.10
Br2 0.346 0.005 0.669  -0.10
Br3 0.649 0.345 0.664  -0.10
Br4 0.011 0.644 0.666  -0.10
Br5 0.346 0.651 0.334  -0.10
Br6 0.645 0.010 0.337  -0.10

Output
SG: P1, No. 1
E_form (uncorrected) in eV per atom: -0.762

[16]
Computed, not measured: an optimized crystal structure of Ce8SnRh6 at the GGA-PBE level of DFT.

a = 7.284 Å, b = 7.284 Å, c = 7.284 Å
α = 88.17°, β = 88.17°, γ = 88.17°
Each line ends with the local moment (μB).
Fractional coordinates of all 15 atoms:
Ce1 0.756 0.756 0.756  0.67
Ce2 0.244 0.244 0.244  0.67
Ce3 0.627 0.899 0.252  0.53
Ce4 0.899 0.252 0.627  0.53
Ce5 0.252 0.627 0.899  0.53
Ce6 0.373 0.101 0.748  0.53
Ce7 0.101 0.748 0.373  0.53
Ce8 0.748 0.373 0.101  0.53
Sn1 0.000 0.000 0.000  -0.02
Rh1 0.582 0.427 0.760  -0.06
Rh2 0.427 0.760 0.582  -0.06
Rh3 0.760 0.582 0.427  -0.06
Rh4 0.418 0.573 0.240  -0.06
Rh5 0.573 0.240 0.418  -0.06
Rh6 0.240 0.418 0.573  -0.06

Output
Formation energy in eV per formula unit: -7.48
SG: R-3, No. 148

[17]
Computed, not measured: an optimized crystal structure of Na2U2PaTe6 at the GGA-PBE level of DFT.

a = 7.522 Å, b = 7.522 Å, c = 8.154 Å
α = 98.96°, β = 98.96°, γ = 119.92°
Each line ends with the local moment (μB).
Fractional coordinates of all 11 atoms:
Na1 0.833 0.167 0.000  0.00
Na2 0.167 0.833 0.000  0.00
U1 0.332 0.668 0.500  2.66
U2 0.668 0.332 0.500  2.66
Pa1 0.000 0.000 0.500  1.16
Te1 0.746 0.746 0.735  -0.06
Te2 0.084 0.411 0.737  -0.06
Te3 0.254 0.254 0.265  -0.06
Te4 0.411 0.084 0.737  -0.06
Te5 0.916 0.589 0.263  -0.06
Te6 0.589 0.916 0.263  -0.06

Output
SG: C2/m, No. 12
E_form (uncorrected) in eV per atom: -0.785

[18]
Computed, not measured: an optimized crystal structure of TcBRh2 at the GGA-PBE level of DFT.

a = 5.118 Å, b = 5.118 Å, c = 6.161 Å
α = 65.46°, β = 65.46°, γ = 90.00°
Each line ends with the local moment (μB).
Fractional coordinates of all 8 atoms:
B1 0.500 0.500 0.000  0.00
B2 0.250 0.750 0.500  0.00
Rh1 0.558 0.125 0.250  0.01
Rh2 0.192 0.625 0.250  0.02
Rh3 0.375 0.442 0.750  0.03
Rh4 0.875 0.808 0.750  0.02
Tc1 0.000 0.000 0.000  0.27
Tc2 0.750 0.250 0.500  0.24

Output
Formation energy in eV per formula unit: 2.31
SG: I-42d, No. 122

[19]
Computed, not measured: an optimized crystal structure of DySc3Zn2 at the GGA-PBE level of DFT.

a = 4.729 Å, b = 6.482 Å, c = 8.610 Å
α = 90.00°, β = 90.00°, γ = 90.00°
Fractional coordinates of all 12 atoms:
Dy1 0.500 0.519 0.553
Dy2 0.500 0.019 0.447
Sc1 0.000 0.479 0.946
Sc2 0.000 0.979 0.054
Sc3 0.500 0.670 0.169
Sc4 0.500 0.170 0.831
Sc5 0.000 0.333 0.311
Sc6 0.000 0.833 0.689
Zn1 0.500 0.736 0.856
Zn2 0.500 0.236 0.144
Zn3 0.000 0.263 0.650
Zn4 0.000 0.763 0.350

Output
Formation energy in eV per formula unit: -1.42
SG: Pmc2_1, No. 26
Offset from the most stable computed form in eV/atom: 0.000

[20]
Computed, not measured: an optimized crystal structure of HfNi2AgAs at the GGA-PBE level of DFT.

a = 4.633 Å, b = 5.075 Å, c = 4.633 Å
α = 90.00°, β = 90.00°, γ = 90.00°
Fractional coordinates of all 5 atoms:
Ni1 0.000 0.000 0.500
Ni2 0.500 0.000 0.000
As1 0.000 0.500 0.000
Hf1 0.000 0.000 0.000
Ag1 0.500 0.500 0.500

Output
Formation energy in eV per formula unit: 4.52
SG: P4/mmm, No. 123